(1)
First-principles (PBE) data for a relaxed MgMn2PbAu crystal, as listed in Alexandria via LeMat-Bulk.

Calculated values
**ΔE_f**: 456 meV/atom
**Raw total energy**: -0.181 hartree per atom
**Total moment**: 8.4 Bohr magnetons per cell

a b c (Å): 5.0214 4.9973 5.0214
angles (deg): 90.00 90.00 90.00
Each line ends with the local moment (μB).
Positions (direct):
1 Pb 0.5000 0.5000 0.5000  -0.12
2 Mg 0.0000 0.5000 0.0000  -0.02
3 Mn 0.0000 0.0000 0.5000  4.16
4 Mn 0.5000 0.0000 0.0000  3.97
5 Au 0.0000 0.0000 0.0000  0.08

(2)
First-principles (PBE) data for a relaxed RbMgMnAu2 crystal, as listed in Alexandria via LeMat-Bulk.

Calculated values
**ΔE_f**: 931 meV/atom
**Raw total energy**: -0.100 hartree per atom
**Total moment**: 0.4 Bohr magnetons per cell

a b c (Å): 5.1401 5.8435 5.1401
angles (deg): 90.00 90.00 90.00
Each line ends with the local moment (μB).
Positions (direct):
1 Mg 0.5000 0.5000 0.5000  0.01
2 Mn 0.0000 0.0000 0.0000  0.30
3 Au 0.0000 0.0000 0.5000  0.00
4 Au 0.5000 0.0000 0.0000  0.02
5 Rb 0.0000 0.5000 0.0000  -0.01

(3)
First-principles (PBE) data for a relaxed MgMn2VAu crystal, as listed in Alexandria via LeMat-Bulk.

Calculated values
**ΔE_f**: 1477 meV/atom
**Raw total energy**: -0.183 hartree per atom
**Total moment**: 8.4 Bohr magnetons per cell

a b c (Å): 4.6310 4.6261 4.6310
angles (deg): 90.00 90.00 90.00
Each line ends with the local moment (μB).
Positions (direct):
1 Mg 0.0000 0.0000 0.0000  -0.03
2 Mn 0.0000 0.0000 0.5000  3.72
3 Mn 0.5000 0.0000 0.0000  3.72
4 Au 0.0000 0.5000 0.0000  0.02
5 V 0.5000 0.5000 0.5000  0.59

(4)
First-principles (PBE) data for a relaxed MgMnZnAu2 crystal, as listed in Alexandria via LeMat-Bulk.

Calculated values
**ΔE_f**: 491 meV/atom
**Raw total energy**: -0.119 hartree per atom
**Total moment**: 4.5 Bohr magnetons per cell

a b c (Å): 4.8215 4.7111 4.8215
angles (deg): 90.00 90.00 90.00
Each line ends with the local moment (μB).
Positions (direct):
1 Zn 0.0000 0.0000 0.0000  -0.01
2 Mn 0.5000 0.5000 0.5000  4.32
3 Au 0.0000 0.0000 0.5000  0.01
4 Au 0.5000 0.0000 0.0000  -0.01
5 Mg 0.0000 0.5000 0.0000  -0.02

(5)
First-principles (PBE) data for a relaxed MgZrMnAu2 crystal, as listed in Alexandria via LeMat-Bulk.

Calculated values
**ΔE_f**: 333 meV/atom
**Raw total energy**: -0.178 hartree per atom
**Total moment**: 2.1 Bohr magnetons per cell

a b c (Å): 4.9863 4.5050 4.9863
angles (deg): 90.00 90.00 90.00
Each line ends with the local moment (μB).
Positions (direct):
1 Mg 0.5000 0.5000 0.5000  0.02
2 Mn 0.0000 0.0000 0.0000  2.32
3 Au 0.0000 0.0000 0.5000  0.10
4 Au 0.5000 0.0000 0.0000  0.05
5 Zr 0.0000 0.5000 0.0000  -0.37

(6)
First-principles (PBE) data for a relaxed Mg2MoAu crystal, as listed in Alexandria via LeMat-Bulk.

Calculated values
**Energy above the lowest structure with this stoichiometry**: 10.9 kJ/mol of atoms
**ΔE_f**: 65 meV/atom
**Raw total energy**: -0.157 hartree per atom
**Total moment**: 0.0 Bohr magnetons per cell

a b c (Å): 5.2506 5.2506 2.7433
angles (deg): 89.88 89.88 110.67
Positions (direct):
1 Au 0.0000 0.5000 0.5000
2 Mg 0.0000 0.0000 0.0000
3 Mg 0.5000 0.5000 0.0000
4 Mo 0.5000 0.0000 0.5000

(7)
First-principles (PBE) data for a relaxed Mg2MoAu crystal, as listed in Alexandria via LeMat-Bulk.

Calculated values
**Energy above the lowest structure with this stoichiometry**: 0.0 kJ/mol of atoms
**ΔE_f**: -48 meV/atom
**Raw total energy**: -0.161 hartree per atom
**Total moment**: 0.0 Bohr magnetons per cell

a b c (Å): 2.8823 2.8823 8.3871
angles (deg): 90.00 90.00 90.00
Positions (direct):
1 Au 0.5000 0.5000 0.7500
2 Mg 0.0000 0.0000 0.9961
3 Mg 0.0000 0.0000 0.5039
4 Mo 0.5000 0.5000 0.2500

(8)
First-principles (PBE) data for a relaxed Mg3MoAu crystal, as listed in Alexandria via LeMat-Bulk.

Calculated values
**Energy above the lowest structure with this stoichiometry**: 48.5 kJ/mol of atoms
**ΔE_f**: 1148 meV/atom
**Raw total energy**: -0.097 hartree per atom
**Total moment**: 3.1 Bohr magnetons per cell

a b c (Å): 5.2184 5.2184 5.2184
angles (deg): 90.00 90.00 90.00
Each line ends with the local moment (μB).
Positions (direct):
1 Mo 0.0000 0.0000 0.0000  2.27
2 Au 0.5000 0.5000 0.5000  0.05
3 Mg 0.0000 0.5000 0.0000  0.02
4 Mg 0.0000 0.0000 0.5000  -0.01
5 Mg 0.5000 0.0000 0.0000  0.02